This record from Alexandria describes an optimized crystal structure of SrSb2Os. The functional is PBE-GGA.

a = 3.6681 Å, b = 3.6681 Å, c = 7.4927 Å
α = 90.00°, β = 90.00°, γ = 90.00°
Positions (direct):
Sr: 0.0000 0.0000 0.0000
Sb: 0.0000 0.0000 0.4375
Sb: 0.5000 0.5000 0.6968
Os: 0.5000 0.5000 0.3195

## Properties
D(E_F), states/eV/atom: 1.01
Calculated volume, Å³/f.u.: 100.81
Formation energy from raw total energies, eV per formula unit: 0.68
Excess energy over the best structure of this formula in the dataset, eV per atom: 0.414
Spin magnetization, μB/atom: 0.0851